DFT (GGA-PBE) results for a relaxed structure of Ba2SbPt6Pb. Values from VASP.

Summary:
Calculated density in g cm⁻³: 11.710
Density of states at the Fermi level in states/eV per cell: 4.31
Energy relative to the elements, uncorrected in eV/atom: -0.54
E_tot in eV/atom: -5.331
Size of the total moment in μB per formula unit: 0.0

The structure in Quantum ESPRESSO input format:
```
&SYSTEM
  ibrav = 0, nat = 10, ntyp = 4
/
ATOMIC_SPECIES
Ba 137.33 Ba.upf
Pb 207.20 Pb.upf
Pt 195.08 Pt.upf
Sb 121.76 Sb.upf
ATOMIC_POSITIONS crystal
Ba 0.702 0.249 0.548
Pb 0.000 0.000 0.000
Ba 0.298 0.751 0.452
Pt 0.107 0.251 0.143
Pt 0.893 0.749 0.857
Pt 0.228 0.723 0.989
Pt 0.772 0.277 0.011
Sb 0.500 0.500 0.000
Pt 0.227 0.217 0.495
Pt 0.773 0.783 0.505
CELL_PARAMETERS angstrom
-1.242 -6.309 -3.084
-2.122 -1.989 6.721
-6.430 -1.899 2.950
```

DFT (GGA-PBE) results for a relaxed structure of Ba2Sb4Pt3Pb. Values from VASP.

Summary:
Calculated density in g cm⁻³: 9.587
Density of states at the Fermi level in states/eV per cell: 6.35
Energy relative to the elements, uncorrected in eV/atom: -0.66
E_tot in eV/atom: -4.875
Size of the total moment in μB per formula unit: 0.0

The structure in Quantum ESPRESSO input format:
```
&SYSTEM
  ibrav = 0, nat = 10, ntyp = 4
/
ATOMIC_SPECIES
Sb 121.76 Sb.upf
Pt 195.08 Pt.upf
Ba 137.33 Ba.upf
Pb 207.20 Pb.upf
ATOMIC_POSITIONS crystal
Sb 0.500 0.500 0.000
Pt 0.500 0.000 0.891
Sb 0.000 0.000 0.000
Pt 0.000 0.000 0.500
Ba 0.500 0.000 0.242
Sb 0.500 0.000 0.648
Ba 0.000 0.500 0.758
Pb 0.500 0.500 0.500
Pt 0.000 0.500 0.109
Sb 0.000 0.500 0.352
CELL_PARAMETERS angstrom
-3.582 -2.894 -1.797
0.924 -3.335 3.529
-7.308 4.951 6.593
```

DFT (GGA-PBE) results for a relaxed structure of Ba2SmPt4Pb3. Values from VASP.

Summary:
Calculated density in g cm⁻³: 11.111
Density of states at the Fermi level in states/eV per cell: 5.29
E_tot in eV/atom: -5.016
Size of the total moment in μB per formula unit: 0.0

The structure in Quantum ESPRESSO input format:
```
&SYSTEM
  ibrav = 0, nat = 10, ntyp = 4
/
ATOMIC_SPECIES
Pt 195.08 Pt.upf
Sm 150.36 Sm.upf
Pb 207.20 Pb.upf
Ba 137.33 Ba.upf
ATOMIC_POSITIONS crystal
Pt 0.500 0.000 0.638
Sm 0.500 0.500 0.500
Pb 0.500 0.000 0.882
Pt 0.000 0.000 0.000
Pb 0.000 0.500 0.118
Pt 0.000 0.500 0.362
Ba 0.000 0.500 0.773
Pt 0.500 0.500 0.000
Ba 0.500 0.000 0.227
Pb 0.000 0.000 0.500
CELL_PARAMETERS angstrom
4.894 0.000 0.000
0.000 4.894 0.000
0.000 0.000 11.401
```

DFT (GGA-PBE) results for a relaxed structure of Ba3Sn2Pt4Pb2. Values from VASP.

Summary:
Calculated density in g cm⁻³: 9.306
Density of states at the Fermi level in states/eV per cell: 9.35
E_tot in eV/atom: -4.717
Size of the total moment in μB per formula unit: 0.0

The structure in Quantum ESPRESSO input format:
```
&SYSTEM
  ibrav = 0, nat = 11, ntyp = 4
/
ATOMIC_SPECIES
Pt 195.08 Pt.upf
Pb 207.20 Pb.upf
Ba 137.33 Ba.upf
Sn 118.71 Sn.upf
ATOMIC_POSITIONS crystal
Pt 0.333 0.667 0.399
Pb 0.667 0.333 0.435
Ba 0.000 0.000 0.000
Pt 0.667 0.333 0.601
Ba 0.000 0.000 0.279
Pt 0.667 0.333 0.140
Sn 0.667 0.333 0.859
Pb 0.333 0.667 0.565
Pt 0.333 0.667 0.860
Ba 0.000 0.000 0.721
Sn 0.333 0.667 0.141
CELL_PARAMETERS angstrom
-3.833 0.043 2.735
0.881 -3.712 -2.760
8.953 -7.292 12.662
```